# 1
FeBiSb2Te | GGA-PBE | relaxed

abc: 5.7577 5.7577 5.8966
angles: 90.00 90.00 90.00
Space group P4/mmm (No. 123)
Symmetry-distinct sites (fractional):
Fe 0.0000 0.0000 0.0000 x1
Bi 0.5000 0.5000 0.5000 x1
Sb 0.0000 0.5000 0.5000 x2
Te 0.5000 0.5000 0.0000 x1

---

# 2
FeBiSbTe2 | GGA-PBE | relaxed

abc: 5.9136 5.9136 5.7976
angles: 90.00 90.00 90.00
Space group P4/mmm (No. 123)
Symmetry-distinct sites (fractional):
Fe 0.0000 0.0000 0.0000 x1
Bi 0.5000 0.5000 0.5000 x1
Sb 0.5000 0.5000 0.0000 x1
Te 0.0000 0.5000 0.5000 x2

---

# 3
FeBiSb2Te | GGA-PBE | relaxed

abc: 4.8415 4.8415 5.6109
angles: 90.00 90.00 90.00
Space group P4/mmm (No. 123)
Symmetry-distinct sites (fractional):
Fe 0.0000 0.0000 0.0000 x1
Bi 0.5000 0.5000 0.5000 x1
Sb 0.0000 0.5000 0.0000 x2
Te 0.0000 0.0000 0.5000 x1

---

# 4
TiFe2BiSb | GGA-PBE | relaxed

abc: 4.8496 4.8496 5.2616
angles: 90.00 90.00 90.00
Space group P4/mmm (No. 123)
Symmetry-distinct sites (fractional):
Ti 0.0000 0.0000 0.0000 x1
Fe 0.0000 0.5000 0.5000 x2
Bi 0.0000 0.0000 0.5000 x1
Sb 0.5000 0.5000 0.0000 x1

---

| no. | calculated volume (Å³ per cell) | formation energy (no corrections) (eV per atom) |
| --- | --- | --- |
| 1 | 195.5 | 1.72 |
| 2 | 202.7 | 1.26 |
| 3 | 131.5 | 0.33 |
| 4 | 123.7 | 1.20 |